# 1
BiMo2Ru: relaxed, GGA-PBE.

It has space group I-42d (No. 122), with a = 7.448 Å, b = 7.448 Å, c = 5.528 Å, α = 90.00°, β = 90.00° and γ = 90.00°. The asymmetric unit holds Bi at (0.000, 0.000, 0.000), Mo at (0.210, 0.750, 0.625) and Ru at (0.000, 0.000, 0.500).

The value obtained for the formation energy is 0.87 eV/atom. For the total magnetization, the calculation gives 0.000 μB per cell.

---

# 2
GeOs: relaxed, GGA-PBE.

It has space group I-43m (No. 217), with a = 7.554 Å, b = 7.554 Å, c = 7.554 Å, α = 90.00°, β = 90.00° and γ = 90.00°. The asymmetric unit holds Ge at (0.192, 0.192, 0.192) and Os at (0.125, 0.125, 0.875).

The value obtained for the formation energy is 0.81 eV/atom. For the total magnetization, the calculation gives 0.000 μB per cell.

---

# 3
CsAl2Pb2: relaxed, GGA-PBE.

It has space group P4/mbm (No. 127), with a = 9.590 Å, b = 9.590 Å, c = 3.415 Å, α = 90.00°, β = 90.00° and γ = 90.00°. The asymmetric unit holds Cs at (0.000, 0.000, 0.000), Al at (0.141, 0.359, 0.500) and Pb at (0.134, 0.634, 0.000).

The energy above the most stable polymorph in this dataset is 0.237 eV per atom. The value obtained for the formation energy is 0.21 eV/atom. For the total magnetization, the calculation gives 0.000 μB per cell.